VASP calculation (PBE-GGA) on an optimized crystal structure of LiTc2Mo.

```
data_LiTc2Mo
_chemical_formula_sum 'Li1 Tc2 Mo1'
_symmetry_space_group_name_H-M 'P 1'
_symmetry_Int_Tables_number 1
_symmetry_space_group_name_Hall 'P 1'
_cell_length_a 5.126
_cell_length_b 5.126
_cell_length_c 2.618
_cell_angle_alpha 100.95
_cell_angle_beta 100.95
_cell_angle_gamma 116.10
loop_
_atom_site_label
_atom_site_fract_x
_atom_site_fract_y
_atom_site_fract_z
Li1 0.000 0.000 0.000
Tc1 0.000 0.500 0.500
Tc2 0.500 0.000 0.500
Mo1 0.500 0.500 0.000
```

Values from the calculation:
The formation energy comes out at 0.232 eV/atom. The value obtained for the energy above the most stable polymorph in this dataset is 0.21 eV per formula unit.

VASP calculation (PBE-GGA) on an optimized crystal structure of Li2TcMo.

```
data_Li2TcMo
_chemical_formula_sum 'Li4 Tc2 Mo2'
_symmetry_space_group_name_H-M 'P 1'
_symmetry_Int_Tables_number 1
_symmetry_space_group_name_Hall 'P 1'
_cell_length_a 5.448
_cell_length_b 5.448
_cell_length_c 5.448
_cell_angle_alpha 101.30
_cell_angle_beta 101.30
_cell_angle_gamma 127.45
loop_
_atom_site_label
_atom_site_fract_x
_atom_site_fract_y
_atom_site_fract_z
Li1 0.118 0.625 0.993
Li2 0.375 0.368 0.493
Li3 0.632 0.125 0.007
Li4 0.875 0.882 0.507
Tc1 0.000 0.000 0.000
Tc2 0.750 0.250 0.500
Mo1 0.250 0.750 0.500
Mo2 0.500 0.500 0.000
```

Values from the calculation:
The formation energy comes out at 0.888 eV/atom. The value obtained for the energy above the most stable polymorph in this dataset is 2.81 eV per formula unit.

VASP calculation (PBE-GGA) on an optimized crystal structure of Li2TcMo.

```
data_Li2TcMo
_chemical_formula_sum 'Li2 Tc1 Mo1'
_symmetry_space_group_name_H-M 'P 1'
_symmetry_Int_Tables_number 1
_symmetry_space_group_name_Hall 'P 1'
_cell_length_a 9.905
_cell_length_b 9.905
_cell_length_c 9.905
_cell_angle_alpha 15.45
_cell_angle_beta 15.45
_cell_angle_gamma 15.45
loop_
_atom_site_label
_atom_site_fract_x
_atom_site_fract_y
_atom_site_fract_z
Li1 0.247 0.247 0.247
Li2 0.753 0.753 0.753
Tc1 0.500 0.500 0.500
Mo1 0.000 0.000 0.000
```

Values from the calculation:
The formation energy comes out at 0.434 eV/atom. The value obtained for the energy above the most stable polymorph in this dataset is 1.00 eV per formula unit.

VASP calculation (PBE-GGA) on an optimized crystal structure of Li2TcMo.

```
data_Li2TcMo
_chemical_formula_sum 'Li2 Tc1 Mo1'
_symmetry_space_group_name_H-M 'P 1'
_symmetry_Int_Tables_number 1
_symmetry_space_group_name_Hall 'P 1'
_cell_length_a 4.682
_cell_length_b 4.682
_cell_length_c 5.343
_cell_angle_alpha 91.98
_cell_angle_beta 91.98
_cell_angle_gamma 30.97
loop_
_atom_site_label
_atom_site_fract_x
_atom_site_fract_y
_atom_site_fract_z
Li1 0.000 0.000 0.000
Li2 0.249 0.249 0.780
Tc1 0.505 0.505 0.492
Mo1 0.748 0.748 0.296
```

Values from the calculation:
The formation energy comes out at 0.291 eV/atom. The value obtained for the energy above the most stable polymorph in this dataset is 0.42 eV per formula unit.

VASP calculation (PBE-GGA) on an optimized crystal structure of Li2TcMo.

```
data_Li2TcMo
_chemical_formula_sum 'Li2 Tc1 Mo1'
_symmetry_space_group_name_H-M 'P 1'
_symmetry_Int_Tables_number 1
_symmetry_space_group_name_Hall 'P 1'
_cell_length_a 2.514
_cell_length_b 2.514
_cell_length_c 9.329
_cell_angle_alpha 90.00
_cell_angle_beta 90.00
_cell_angle_gamma 90.00
loop_
_atom_site_label
_atom_site_fract_x
_atom_site_fract_y
_atom_site_fract_z
Li1 0.000 0.000 0.241
Li2 0.000 0.000 0.759
Tc1 0.500 0.500 0.000
Mo1 0.500 0.500 0.500
```

Values from the calculation:
The formation energy comes out at 0.352 eV/atom. The value obtained for the energy above the most stable polymorph in this dataset is 0.67 eV per formula unit.

VASP calculation (PBE-GGA) on an optimized crystal structure of Li2TcMo.

```
data_Li2TcMo
_chemical_formula_sum 'Li2 Tc1 Mo1'
_symmetry_space_group_name_H-M 'P 1'
_symmetry_Int_Tables_number 1
_symmetry_space_group_name_Hall 'P 1'
_cell_length_a 5.372
_cell_length_b 5.372
_cell_length_c 2.532
_cell_angle_alpha 96.25
_cell_angle_beta 96.25
_cell_angle_gamma 123.93
loop_
_atom_site_label
_atom_site_fract_x
_atom_site_fract_y
_atom_site_fract_z
Li1 0.000 0.500 0.000
Li2 0.500 0.000 0.000
Tc1 0.000 0.000 0.500
Mo1 0.500 0.500 0.500
```

Values from the calculation:
The formation energy comes out at 0.300 eV/atom. The value obtained for the energy above the most stable polymorph in this dataset is 0.46 eV per formula unit.

VASP calculation (PBE-GGA) on an optimized crystal structure of LiTcMo2.

```
data_LiTcMo2
_chemical_formula_sum 'Li1 Tc1 Mo2'
_symmetry_space_group_name_H-M 'P 1'
_symmetry_Int_Tables_number 1
_symmetry_space_group_name_Hall 'P 1'
_cell_length_a 4.350
_cell_length_b 4.350
_cell_length_c 4.350
_cell_angle_alpha 60.00
_cell_angle_beta 60.00
_cell_angle_gamma 60.00
loop_
_atom_site_label
_atom_site_fract_x
_atom_site_fract_y
_atom_site_fract_z
Li1 0.000 0.000 0.000
Tc1 0.500 0.500 0.500
Mo1 0.250 0.250 0.250
Mo2 0.750 0.750 0.750
```

Values from the calculation:
The formation energy comes out at 0.306 eV/atom. The value obtained for the energy above the most stable polymorph in this dataset is 0.37 eV per formula unit.

VASP calculation (PBE-GGA) on an optimized crystal structure of LiTcMo2.

```
data_LiTcMo2
_chemical_formula_sum 'Li1 Tc1 Mo2'
_symmetry_space_group_name_H-M 'P 1'
_symmetry_Int_Tables_number 1
_symmetry_space_group_name_Hall 'P 1'
_cell_length_a 2.627
_cell_length_b 4.410
_cell_length_c 5.194
_cell_angle_alpha 90.00
_cell_angle_beta 100.27
_cell_angle_gamma 90.00
loop_
_atom_site_label
_atom_site_fract_x
_atom_site_fract_y
_atom_site_fract_z
Li1 0.000 0.000 0.000
Tc1 0.500 0.000 0.500
Mo1 0.248 0.500 0.751
Mo2 0.752 0.500 0.249
```

Values from the calculation:
The formation energy comes out at 0.231 eV/atom. The value obtained for the energy above the most stable polymorph in this dataset is 0.07 eV per formula unit.

VASP calculation (PBE-GGA) on an optimized crystal structure of LiTc2Mo.

```
data_LiTc2Mo
_chemical_formula_sum 'Li1 Tc2 Mo1'
_symmetry_space_group_name_H-M 'P 1'
_symmetry_Int_Tables_number 1
_symmetry_space_group_name_Hall 'P 1'
_cell_length_a 2.602
_cell_length_b 4.357
_cell_length_c 5.167
_cell_angle_alpha 90.00
_cell_angle_beta 100.57
_cell_angle_gamma 90.00
loop_
_atom_site_label
_atom_site_fract_x
_atom_site_fract_y
_atom_site_fract_z
Li1 0.000 0.000 0.000
Tc1 0.263 0.500 0.762
Tc2 0.485 0.000 0.507
Mo1 0.722 0.500 0.244
```

Values from the calculation:
The formation energy comes out at 0.200 eV/atom. The value obtained for the energy above the most stable polymorph in this dataset is 0.08 eV per formula unit.

VASP calculation (PBE-GGA) on an optimized crystal structure of LiTc2Mo.

```
data_LiTc2Mo
_chemical_formula_sum 'Li1 Tc2 Mo1'
_symmetry_space_group_name_H-M 'P 1'
_symmetry_Int_Tables_number 1
_symmetry_space_group_name_Hall 'P 1'
_cell_length_a 5.087
_cell_length_b 5.087
_cell_length_c 5.087
_cell_angle_alpha 144.88
_cell_angle_beta 129.66
_cell_angle_gamma 62.86
loop_
_atom_site_label
_atom_site_fract_x
_atom_site_fract_y
_atom_site_fract_z
Li1 0.000 0.000 0.000
Tc1 0.503 0.503 0.000
Tc2 0.743 0.243 0.500
Mo1 0.264 0.764 0.500
```

Values from the calculation:
The formation energy comes out at 0.229 eV/atom. The value obtained for the energy above the most stable polymorph in this dataset is 0.20 eV per formula unit.

VASP calculation (PBE-GGA) on an optimized crystal structure of Li2TcMo.

```
data_Li2TcMo
_chemical_formula_sum 'Li2 Tc1 Mo1'
_symmetry_space_group_name_H-M 'P 1'
_symmetry_Int_Tables_number 1
_symmetry_space_group_name_Hall 'P 1'
_cell_length_a 2.531
_cell_length_b 4.727
_cell_length_c 5.054
_cell_angle_alpha 90.00
_cell_angle_beta 103.38
_cell_angle_gamma 90.00
loop_
_atom_site_label
_atom_site_fract_x
_atom_site_fract_y
_atom_site_fract_z
Li1 0.020 0.000 0.257
Li2 0.980 0.000 0.743
Tc1 0.500 0.500 0.500
Mo1 0.500 0.500 0.000
```

Values from the calculation:
The formation energy comes out at 0.294 eV/atom. The value obtained for the energy above the most stable polymorph in this dataset is 0.44 eV per formula unit.

VASP calculation (PBE-GGA) on an optimized crystal structure of LiTcMo.

```
data_LiTcMo
_chemical_formula_sum 'Li2 Tc2 Mo2'
_symmetry_space_group_name_H-M 'P 1'
_symmetry_Int_Tables_number 1
_symmetry_space_group_name_Hall 'P 1'
_cell_length_a 2.670
_cell_length_b 4.413
_cell_length_c 7.777
_cell_angle_alpha 90.00
_cell_angle_beta 91.81
_cell_angle_gamma 90.00
loop_
_atom_site_label
_atom_site_fract_x
_atom_site_fract_y
_atom_site_fract_z
Li1 0.134 0.250 0.071
Li2 0.866 0.750 0.929
Tc1 0.487 0.750 0.272
Tc2 0.513 0.250 0.728
Mo1 0.191 0.750 0.594
Mo2 0.809 0.250 0.406
```

Values from the calculation:
The formation energy comes out at 0.183 eV/atom. The value obtained for the energy above the most stable polymorph in this dataset is 0.10 eV per formula unit.

VASP calculation (PBE-GGA) on an optimized crystal structure of LiTc2Mo.

```
data_LiTc2Mo
_chemical_formula_sum 'Li1 Tc2 Mo1'
_symmetry_space_group_name_H-M 'P 1'
_symmetry_Int_Tables_number 1
_symmetry_space_group_name_Hall 'P 1'
_cell_length_a 4.307
_cell_length_b 4.307
_cell_length_c 4.307
_cell_angle_alpha 60.00
_cell_angle_beta 60.00
_cell_angle_gamma 60.00
loop_
_atom_site_label
_atom_site_fract_x
_atom_site_fract_y
_atom_site_fract_z
Li1 0.000 0.000 0.000
Tc1 0.250 0.250 0.250
Tc2 0.750 0.750 0.750
Mo1 0.500 0.500 0.500
```

Values from the calculation:
The formation energy comes out at 0.203 eV/atom. The value obtained for the energy above the most stable polymorph in this dataset is 0.10 eV per formula unit.

VASP calculation (PBE-GGA) on an optimized crystal structure of LiTc2Mo.

```
data_LiTc2Mo
_chemical_formula_sum 'Li1 Tc2 Mo1'
_symmetry_space_group_name_H-M 'P 1'
_symmetry_Int_Tables_number 1
_symmetry_space_group_name_Hall 'P 1'
_cell_length_a 5.036
_cell_length_b 5.036
_cell_length_c 5.036
_cell_angle_alpha 144.45
_cell_angle_beta 127.98
_cell_angle_gamma 64.59
loop_
_atom_site_label
_atom_site_fract_x
_atom_site_fract_y
_atom_site_fract_z
Li1 0.000 0.000 0.000
Tc1 0.260 0.760 0.500
Tc2 0.740 0.240 0.500
Mo1 0.500 0.500 0.000
```

Values from the calculation:
The formation energy comes out at 0.231 eV/atom. The value obtained for the energy above the most stable polymorph in this dataset is 0.21 eV per formula unit.

VASP calculation (PBE-GGA) on an optimized crystal structure of Li4TcMo.

```
data_Li4TcMo
_chemical_formula_sum 'Li4 Tc1 Mo1'
_symmetry_space_group_name_H-M 'P 1'
_symmetry_Int_Tables_number 1
_symmetry_space_group_name_Hall 'P 1'
_cell_length_a 4.760
_cell_length_b 4.760
_cell_length_c 4.760
_cell_angle_alpha 60.00
_cell_angle_beta 60.00
_cell_angle_gamma 60.00
loop_
_atom_site_label
_atom_site_fract_x
_atom_site_fract_y
_atom_site_fract_z
Li1 0.376 0.376 0.376
Li2 0.376 0.376 0.873
Li3 0.376 0.873 0.376
Li4 0.873 0.376 0.376
Tc1 0.750 0.750 0.750
Mo1 0.000 0.000 0.000
```

Values from the calculation:
The formation energy comes out at 0.460 eV/atom.